# 1
This record from Alexandria describes an optimized crystal structure of CaAs2PdO8. The functional is GGA-PBE. Values from VASP.

Calculated values
- Energy relative to the elements, uncorrected: -1196 meV/atom
- Crystal system: trigonal
- Space group: No. 164
- E_tot: -5.8759 eV/atom
- Total moment: 0.0 μB/cell

```
&SYSTEM
  ibrav = 0, nat = 12, ntyp = 4
/
ATOMIC_SPECIES
Ca 40.08 Ca.upf
As 74.92 As.upf
Pd 106.42 Pd.upf
O 16.00 O.upf
ATOMIC_POSITIONS crystal
Ca 0.000 0.000 0.500
As 0.667 0.333 0.263
As 0.333 0.667 0.737
Pd 0.000 0.000 0.000
O 0.844 0.156 0.205
O 0.844 0.688 0.205
O 0.312 0.156 0.205
O 0.688 0.844 0.795
O 0.333 0.667 0.488
O 0.667 0.333 0.512
O 0.156 0.844 0.795
O 0.156 0.312 0.795
CELL_PARAMETERS angstrom
-3.952 3.200 -2.066
3.746 -2.233 -3.333
-3.962 -5.423 -0.819
```

# 2
This record from Alexandria describes an optimized crystal structure of CaPm2AsO8. The functional is GGA-PBE. Values from VASP.

Calculated values
- Energy relative to the elements, uncorrected: -1893 meV/atom
- Crystal system: trigonal
- Space group: No. 164
- E_tot: -6.5445 eV/atom
- Total moment: 3.0 μB/cell

```
&SYSTEM
  ibrav = 0, nat = 12, ntyp = 4
/
ATOMIC_SPECIES
Ca 40.08 Ca.upf
Pm 145.00 Pm.upf
As 74.92 As.upf
O 16.00 O.upf
ATOMIC_POSITIONS crystal
Ca 0.000 0.000 0.500
Pm 0.667 0.333 0.134
Pm 0.333 0.667 0.866
As 0.000 0.000 0.000
O 0.838 0.676 0.836
O 0.324 0.162 0.836
O 0.838 0.162 0.836
O 0.162 0.324 0.164
O 0.676 0.838 0.164
O 0.162 0.838 0.164
O 0.667 0.333 0.479
O 0.333 0.667 0.521
CELL_PARAMETERS angstrom
5.329 0.000 0.000
-2.664 4.615 0.000
0.000 0.000 6.469
```

# 3
This record from Alexandria describes an optimized crystal structure of CaPmAsO5. The functional is GGA-PBE. Values from VASP.

Calculated values
- Energy relative to the elements, uncorrected: -2430 meV/atom
- Crystal system: monoclinic
- Space group: No. 15
- E_tot: -6.9538 eV/atom
- Total moment: 0.0 μB/cell

```
&SYSTEM
  ibrav = 0, nat = 16, ntyp = 4
/
ATOMIC_SPECIES
Ca 40.08 Ca.upf
Pm 145.00 Pm.upf
As 74.92 As.upf
O 16.00 O.upf
ATOMIC_POSITIONS crystal
Ca 0.331 0.669 0.250
Ca 0.669 0.331 0.750
Pm 0.000 0.000 0.500
Pm 0.000 0.000 0.000
As 0.674 0.326 0.250
As 0.326 0.674 0.750
O 0.107 0.893 0.250
O 0.893 0.107 0.750
O 0.907 0.344 0.151
O 0.093 0.656 0.849
O 0.656 0.093 0.349
O 0.344 0.907 0.651
O 0.713 0.591 0.410
O 0.287 0.409 0.590
O 0.409 0.287 0.090
O 0.591 0.713 0.910
CELL_PARAMETERS angstrom
-2.019 -5.503 1.080
4.365 -0.591 -4.014
4.049 1.634 6.649
```

# 4
This record from Alexandria describes an optimized crystal structure of Ca2Pm4As3O2. The functional is GGA-PBE. Values from VASP.

Calculated values
- Energy relative to the elements, uncorrected: -1795 meV/atom
- Crystal system: tetragonal
- Space group: No. 139
- E_tot: -6.0558 eV/atom
- Total moment: 0.0 μB/cell

```
&SYSTEM
  ibrav = 0, nat = 11, ntyp = 4
/
ATOMIC_SPECIES
Ca 40.08 Ca.upf
Pm 145.00 Pm.upf
As 74.92 As.upf
O 16.00 O.upf
ATOMIC_POSITIONS crystal
Ca 0.300 0.300 0.600
Ca 0.700 0.700 0.400
Pm 0.419 0.919 0.838
Pm 0.919 0.419 0.838
Pm 0.081 0.581 0.162
Pm 0.581 0.081 0.162
As 0.000 0.000 0.000
As 0.174 0.174 0.348
As 0.826 0.826 0.652
O 0.397 0.397 0.794
O 0.603 0.603 0.206
CELL_PARAMETERS angstrom
4.697 0.000 0.000
0.000 4.697 0.000
-2.348 -2.348 11.852
```

# 5
This record from Alexandria describes an optimized crystal structure of CaPmAs2O8. The functional is GGA-PBE. Values from VASP.

Calculated values
- Energy relative to the elements, uncorrected: -2028 meV/atom
- Crystal system: tetragonal
- Space group: No. 82
- E_tot: -6.6709 eV/atom
- Total moment: 1.1 μB/cell

```
&SYSTEM
  ibrav = 0, nat = 12, ntyp = 4
/
ATOMIC_SPECIES
Ca 40.08 Ca.upf
Pm 145.00 Pm.upf
As 74.92 As.upf
O 16.00 O.upf
ATOMIC_POSITIONS crystal
Ca 0.750 0.250 0.500
Pm 0.000 0.000 0.000
As 0.500 0.500 0.000
As 0.250 0.750 0.500
O 0.717 0.827 0.155
O 0.438 0.328 0.155
O 0.578 0.692 0.658
O 0.080 0.966 0.658
O 0.034 0.422 0.342
O 0.308 0.920 0.342
O 0.173 0.562 0.845
O 0.672 0.283 0.845
CELL_PARAMETERS angstrom
5.144 0.000 0.000
0.000 5.144 0.000
-2.572 -2.572 5.843
```

# 6
This record from Alexandria describes an optimized crystal structure of CaPrAsO. The functional is GGA-PBE. Values from VASP.

Calculated values
- Energy relative to the elements, uncorrected: -2002 meV/atom
- Crystal system: tetragonal
- Space group: No. 129
- E_tot: -6.0995 eV/atom
- Total moment: 0.0 μB/cell

```
&SYSTEM
  ibrav = 0, nat = 8, ntyp = 4
/
ATOMIC_SPECIES
Ca 40.08 Ca.upf
Pr 140.91 Pr.upf
As 74.92 As.upf
O 16.00 O.upf
ATOMIC_POSITIONS crystal
Ca 0.500 0.000 0.857
Ca 0.000 0.500 0.143
Pr 0.000 0.000 0.500
Pr 0.500 0.500 0.500
As 0.000 0.500 0.789
As 0.500 0.000 0.211
O 0.000 0.500 0.411
O 0.500 0.000 0.589
CELL_PARAMETERS angstrom
4.644 0.000 0.000
0.000 4.644 0.000
0.000 0.000 8.479
```

# 7
This record from Alexandria describes an optimized crystal structure of Ca2Pr4As3O2. The functional is GGA-PBE. Values from VASP.

Calculated values
- Energy relative to the elements, uncorrected: -1754 meV/atom
- Crystal system: tetragonal
- Space group: No. 139
- E_tot: -6.0259 eV/atom
- Total moment: 0.0 μB/cell

```
&SYSTEM
  ibrav = 0, nat = 11, ntyp = 4
/
ATOMIC_SPECIES
Ca 40.08 Ca.upf
Pr 140.91 Pr.upf
As 74.92 As.upf
O 16.00 O.upf
ATOMIC_POSITIONS crystal
Ca 0.299 0.299 0.598
Ca 0.701 0.701 0.402
Pr 0.418 0.918 0.837
Pr 0.918 0.418 0.837
Pr 0.082 0.582 0.163
Pr 0.582 0.082 0.163
As 0.000 0.000 0.000
As 0.175 0.175 0.350
As 0.825 0.825 0.650
O 0.395 0.395 0.790
O 0.605 0.605 0.210
CELL_PARAMETERS angstrom
4.777 0.000 0.000
0.000 4.777 0.000
-2.388 -2.388 11.946
```

# 8
This record from Alexandria describes an optimized crystal structure of CaAs2PtO8. The functional is GGA-PBE. Values from VASP.

Calculated values
- Energy relative to the elements, uncorrected: -1228 meV/atom
- Crystal system: trigonal
- Space group: No. 164
- E_tot: -5.9784 eV/atom
- Total moment: 0.0 μB/cell

```
&SYSTEM
  ibrav = 0, nat = 12, ntyp = 4
/
ATOMIC_SPECIES
Ca 40.08 Ca.upf
As 74.92 As.upf
Pt 195.08 Pt.upf
O 16.00 O.upf
ATOMIC_POSITIONS crystal
Ca 0.000 0.000 0.500
As 0.667 0.333 0.266
As 0.333 0.667 0.734
Pt 0.000 0.000 0.000
O 0.845 0.155 0.204
O 0.845 0.690 0.204
O 0.310 0.155 0.204
O 0.690 0.845 0.796
O 0.333 0.667 0.490
O 0.667 0.333 0.510
O 0.155 0.845 0.796
O 0.155 0.310 0.796
CELL_PARAMETERS angstrom
-4.649 2.071 1.976
0.096 -5.083 -1.988
1.571 -2.398 6.210
```